This record from the Alexandria database describes LiNb2Te4Cl10O after structural relaxation. The functional is PBE.

Computed properties:
Energy relative to the elements, uncorrected = -105 kJ per mole of atoms
Spin magnetization = 1.071 μB/cell
Final energy = -77.6 eV per cell
Offset from the most stable computed form = 4.0 meV per atom

a b c (Å): 7.8086 9.0476 9.3399
angles (deg): 96.40 99.57 96.68
Sites, in units of the cell vectors:
Li 0.0000 0.0000 0.0000
Nb 0.0326 0.2045 0.3444
Nb 0.0582 0.9364 0.6342
Te 0.3038 0.4693 0.8765
Te 0.4432 0.7481 0.0201
Te 0.6016 0.3572 0.9915
Te 0.7407 0.6345 0.1381
Cl 0.0007 0.3690 0.1501
Cl 0.0642 0.7840 0.8574
Cl 0.2269 0.7695 0.5363
Cl 0.2303 0.0782 0.2078
Cl 0.2698 0.3670 0.4787
Cl 0.3276 0.0844 0.7758
Cl 0.7899 0.7881 0.5360
Cl 0.7994 0.0183 0.1702
Cl 0.8096 0.3071 0.4399
Cl 0.9061 0.1041 0.7812
O 0.0474 0.0605 0.4848